1.
Below is a relaxed ZnInCl2 crystal, with properties calculated at the PBE level.

The space group is Pmmm (No. 47) and the conventional cell measures 3.6459, 3.7814 and 7.7085 Å, with angles of 90.00, 90.00 and 90.00 degrees. Symmetry generates all atoms from Zn at (0.0000, 0.0000, 0.0000), In at (0.5000, 0.0000, 0.5000) and Cl at (0.0000, 0.5000, 0.2349).

The value obtained for the uncorrected energy is -9.5 eV/f.u. The calculated volume is 26.57 Å³ per atom. The calculation puts the calculated density at 3.924 g cm⁻³.

=====

2.
Below is a relaxed SrMg4Tl8 crystal, with properties calculated at the PBE level.

The space group is I4/mmm (No. 139) and the conventional cell measures 10.7547, 10.7547 and 6.2931 Å, with angles of 90.00, 90.00 and 90.00 degrees. Symmetry generates all atoms from Sr at (0.0000, 0.0000, 0.0000), Mg at (0.2500, 0.2500, 0.2500), Tl at (0.0000, 0.2158, 0.5000) and Tl at (0.0000, 0.3464, 0.0000).

The calculated volume is 28.00 Å³ per atom. The value obtained for the formation energy is -1.16 eV/f.u. The calculation puts the calculated density at 8.304 g cm⁻³.

=====

3.
Below is a relaxed Sc2TePd2 crystal, with properties calculated at the PBE level.

The space group is I4/mmm (No. 139) and the conventional cell measures 3.8300, 3.8300 and 14.6746 Å, with angles of 90.00, 90.00 and 90.00 degrees. Symmetry generates all atoms from Sc at (0.0000, 0.0000, 0.1193), Te at (0.0000, 0.0000, 0.5000) and Pd at (0.0000, 0.5000, 0.2500).

The value obtained for the uncorrected energy is -29.9 eV/f.u. The calculated volume is 21.53 Å³ per atom. The calculation puts the calculated density at 6.640 g cm⁻³.

=====

4.
Below is a relaxed TeIrN2Cl crystal, with properties calculated at the PBE level.

The space group is P4/mmm (No. 123) and the conventional cell measures 3.7010, 3.7010 and 7.6222 Å, with angles of 90.00, 90.00 and 90.00 degrees. Symmetry generates all atoms from Te at (0.0000, 0.0000, 0.0000), Ir at (0.5000, 0.5000, 0.0000), N at (0.0000, 0.5000, 0.5000) and Cl at (0.0000, 0.0000, 0.5000).

The value obtained for the uncorrected energy is -18.7 eV/f.u. The calculated volume is 20.88 Å³ per atom. The calculation puts the calculated density at 6.096 g cm⁻³.

=====

5.
Below is a relaxed CaGa2SiTc crystal, with properties calculated at the PBE level.

The space group is P4/mmm (No. 123) and the conventional cell measures 5.3087, 5.3087 and 4.8733 Å, with angles of 90.00, 90.00 and 90.00 degrees. Symmetry generates all atoms from Ca at (0.0000, 0.0000, 0.0000), Ga at (0.0000, 0.5000, 0.0000), Si at (0.5000, 0.5000, 0.5000) and Tc at (0.0000, 0.0000, 0.5000).

The value obtained for the uncorrected energy is -15.4 eV/f.u. The calculated volume is 27.47 Å³ per atom. The calculation puts the calculated density at 3.695 g cm⁻³.

=====

6.
Below is a relaxed CeNd4Ir3 crystal, with properties calculated at the PBE level.

The space group is C2/c (No. 15) and the conventional cell measures 12.4126, 11.0560 and 6.3840 Å, with angles of 90.00, 110.28 and 90.00 degrees. Symmetry generates all atoms from Ce at (0.0000, 0.0012, 0.2500), Nd at (0.0871, 0.2885, 0.0406), Nd at (0.2059, 0.4120, 0.6157), Ir at (0.0000, 0.4998, 0.2500) and Ir at (0.1425, 0.1519, 0.6418).

The calculated volume is 25.68 Å³ per atom. The value obtained for the formation energy is -4.75 eV/f.u. The calculation puts the calculated density at 10.457 g cm⁻³.

=====

7.
Below is a relaxed PmSm2CdN crystal, with properties calculated at the PBE level.

The space group is P4/mmm (No. 123) and the conventional cell measures 4.9650, 4.9650 and 5.0019 Å, with angles of 90.00, 90.00 and 90.00 degrees. Symmetry generates all atoms from Pm at (0.0000, 0.0000, 0.0000), Sm at (0.0000, 0.5000, 0.5000), Cd at (0.5000, 0.5000, 0.0000) and N at (0.0000, 0.0000, 0.5000).

The value obtained for the uncorrected energy is -27.2 eV/f.u. The calculated volume is 24.66 Å³ per atom. The calculation puts the calculated density at 7.705 g cm⁻³.

=====

8.
Below is a relaxed Ho4In3Au crystal, with properties calculated at the PBE level.

The space group is P4/mmm (No. 123) and the conventional cell measures 3.5437, 3.5437 and 16.2418 Å, with angles of 90.00, 90.00 and 90.00 degrees. Symmetry generates all atoms from Ho at (0.0000, 0.0000, 0.1101), Ho at (0.0000, 0.0000, 0.3701), In at (0.5000, 0.5000, 0.2405), In at (0.5000, 0.5000, 0.5000) and Au at (0.5000, 0.5000, 0.0000).

The calculated volume is 25.50 Å³ per atom. The value obtained for the formation energy is -4.50 eV/f.u. The calculation puts the calculated density at 9.779 g cm⁻³.